1.
## SiNiPt2 (PBE)

Data for an optimized crystal structure of SiNiPt2.

Uncorrected energy, eV for the cell shown: -24.75
D(E_F), states/eV/atom: 0.436
ΔE_f (raw), eV/atom: -0.37

Cell: 2.864 2.864 6.592 Å, 90.00 90.00 90.00°
Fractional positions:
1 Ni 0.500 0.500 0.709
2 Si 0.000 0.000 0.526
3 Pt 0.000 0.000 0.973
4 Pt 0.500 0.500 0.292



2.
## Ti3ZnNi (PBE)

Data for an optimized crystal structure of Ti3ZnNi.

Energy relative to the elements, eV per formula unit: 1.72
Uncorrected energy, eV for the cell shown: -29.02
D(E_F), states/eV/atom: 1.585
Relative energy among the computed polymorphs, meV per atom: 0

Cell: 4.524 4.524 4.524 Å, 90.00 90.00 90.00°
Fractional positions:
1 Ti 0.000 0.500 0.000
2 Ti 0.500 0.000 0.000
3 Ti 0.000 0.000 0.500
4 Ni 0.000 0.000 0.000
5 Zn 0.500 0.500 0.500



3.
## Dy2TePb (PBE)

Data for an optimized crystal structure of Dy2TePb.

Uncorrected energy, eV for the cell shown: -19.77
D(E_F), states/eV/atom: 0.298
Relative energy among the computed polymorphs, meV per atom: 24
ΔE_f (raw), eV/atom: -0.93

Cell: 4.418 4.418 7.656 Å, 89.97 106.80 120.01°
Fractional positions:
1 Te 0.000 0.500 0.500
2 Dy 0.493 0.747 0.240
3 Dy 0.507 0.253 0.760
4 Pb 0.000 0.000 0.000